{"formula": "Np3V5O12", "functional": "PBE with a Hubbard U", "state": "optimized geometry", "lattice_angstrom": [[-6.3582, 6.3582, 6.3582], [6.3582, -6.3582, 6.3582], [6.3582, 6.3582, -6.3582]], "species": ["Np", "Np", "Np", "Np", "Np", "Np", "Np", "Np", "Np", "Np", "Np", "Np", "V", "V", "V", "V", "V", "V", "V", "V", "V", "V", "V", "V", "V", "V", "V", "V", "V", "V", "V", "V", "O", "O", "O", "O", "O", "O", "O", "O", "O", "O", "O", "O", "O", "O", "O", "O", "O", "O", "O", "O", "O", "O", "O", "O", "O", "O", "O", "O", "O", "O", "O", "O", "O", "O", "O", "O", "O", "O", "O", "O", "O", "O", "O", "O", "O", "O", "O", "O"], "frac_coords": [[0.1250, 0.2500, 0.3750], [0.1250, 0.3750, 0.7500], [0.2500, 0.3750, 0.1250], [0.2500, 0.8750, 0.6250], [0.3750, 0.1250, 0.2500], [0.3750, 0.7500, 0.1250], [0.6250, 0.2500, 0.8750], [0.6250, 0.8750, 0.7500], [0.7500, 0.1250, 0.3750], [0.7500, 0.6250, 0.8750], [0.8750, 0.6250, 0.2500], [0.8750, 0.7500, 0.6250], [0.0000, 0.0000, 0.0000], [0.0000, 0.0000, 0.5000], [0.0000, 0.5000, 0.0000], [0.0000, 0.5000, 0.5000], [0.1250, 0.7500, 0.8750], [0.1250, 0.8750, 0.2500], [0.2500, 0.1250, 0.8750], [0.2500, 0.6250, 0.3750], [0.3750, 0.2500, 0.6250], [0.3750, 0.6250, 0.7500], [0.5000, 0.0000, 0.0000], [0.5000, 0.0000, 0.5000], [0.5000, 0.5000, 0.0000], [0.5000, 0.5000, 0.5000], [0.6250, 0.3750, 0.2500], [0.6250, 0.7500, 0.3750], [0.7500, 0.3750, 0.6250], [0.7500, 0.8750, 0.1250], [0.8750, 0.1250, 0.7500], [0.8750, 0.2500, 0.1250], [0.0357, 0.2144, 0.1295], [0.0357, 0.3213, 0.9062], [0.0849, 0.7144, 0.6787], [0.0849, 0.8705, 0.4062], [0.0938, 0.6295, 0.4151], [0.0938, 0.9643, 0.6787], [0.1295, 0.0357, 0.2144], [0.1295, 0.5938, 0.9151], [0.1787, 0.2144, 0.5849], [0.1787, 0.4643, 0.5938], [0.2144, 0.1295, 0.0357], [0.2144, 0.5849, 0.1787], [0.2856, 0.3213, 0.9151], [0.2856, 0.4643, 0.3705], [0.3213, 0.9062, 0.0357], [0.3213, 0.9151, 0.2856], [0.3705, 0.2856, 0.4643], [0.3705, 0.5849, 0.9062], [0.4062, 0.0849, 0.8705], [0.4062, 0.8213, 0.5357], [0.4151, 0.0938, 0.6295], [0.4151, 0.8213, 0.7856], [0.4643, 0.3705, 0.2856], [0.4643, 0.5938, 0.1787], [0.5357, 0.4062, 0.8213], [0.5357, 0.6295, 0.7144], [0.5849, 0.1787, 0.2144], [0.5849, 0.9062, 0.3705], [0.5938, 0.1787, 0.4643], [0.5938, 0.9151, 0.1295], [0.6295, 0.4151, 0.0938], [0.6295, 0.7144, 0.5357], [0.6787, 0.0849, 0.7144], [0.6787, 0.0938, 0.9643], [0.7144, 0.5357, 0.6295], [0.7144, 0.6787, 0.0849], [0.7856, 0.4151, 0.8213], [0.7856, 0.8705, 0.9643], [0.8213, 0.5357, 0.4062], [0.8213, 0.7856, 0.4151], [0.8705, 0.4062, 0.0849], [0.8705, 0.9643, 0.7856], [0.9062, 0.0357, 0.3213], [0.9062, 0.3705, 0.5849], [0.9151, 0.1295, 0.5938], [0.9151, 0.2856, 0.3213], [0.9643, 0.6787, 0.0938], [0.9643, 0.7856, 0.8705]], "volume_a3_per_cell": 1028.2, "final_energy_ev_per_atom": -9.07}